Version i
DyHo2Sc6: relaxed, PBE.

Unit cell a=9.176 b=9.176 c=3.277 alpha=90.07 beta=90.07 gamma=59.99
Fractional coordinates of all 9 atoms:
Dy 0.000 0.000 0.000
Ho 0.333 0.333 0.000
Ho 0.667 0.667 0.000
Sc 0.000 0.334 0.500
Sc 0.000 0.666 0.500
Sc 0.334 0.000 0.500
Sc 0.334 0.666 0.500
Sc 0.666 0.000 0.500
Sc 0.666 0.334 0.500

Properties
- space-group type = C2/m
- mass density (kg/m³) = 5296

---

Version ii
DyHo2Sc6: relaxed, PBE.

Unit cell a=3.391 b=3.391 c=24.341 alpha=90.00 beta=90.00 gamma=120.00
Fractional coordinates of all 9 atoms:
Dy 0.000 0.000 0.000
Ho 0.333 0.667 0.328
Ho 0.333 0.667 0.672
Sc 0.000 0.000 0.216
Sc 0.000 0.000 0.438
Sc 0.000 0.000 0.562
Sc 0.000 0.000 0.784
Sc 0.333 0.667 0.112
Sc 0.333 0.667 0.888

Properties
- space-group type = P-6m2
- mass density (kg/m³) = 5219

---

Verdict on stability: version ii comes out at the bottom.

---

Version i
Dy2Ho5Sc4: relaxed, PBE.

Unit cell a=8.661 b=3.497 c=10.722 alpha=90.00 beta=94.88 gamma=90.00
Fractional coordinates of all 11 atoms:
Dy 0.075 0.000 0.137
Dy 0.925 0.000 0.863
Ho 0.148 0.000 0.633
Ho 0.453 0.000 0.168
Ho 0.500 0.000 0.500
Ho 0.547 0.000 0.832
Ho 0.852 0.000 0.367
Sc 0.201 0.500 0.371
Sc 0.249 0.500 0.926
Sc 0.751 0.500 0.074
Sc 0.799 0.500 0.629

Properties
- space-group type = P2/m
- mass density (kg/m³) = 6822

---

Version ii
Dy2Ho5Sc4: relaxed, PBE.

Unit cell a=12.123 b=12.123 c=12.123 alpha=163.94 beta=138.30 gamma=44.96
Fractional coordinates of all 11 atoms:
Dy 0.231 0.231 0.000
Dy 0.769 0.769 0.000
Ho 0.159 0.359 0.800
Ho 0.440 0.641 0.800
Ho 0.500 0.000 0.500
Ho 0.560 0.359 0.200
Ho 0.841 0.641 0.200
Sc 0.094 0.094 0.000
Sc 0.179 0.500 0.679
Sc 0.821 0.500 0.321
Sc 0.906 0.906 0.000

Properties
- space-group type = Immm
- mass density (kg/m³) = 6745

---

Verdict on stability: version ii comes out at the bottom.